Sm4MgTl2: optimized geometry, GGA-PBE.

Summary:
Total energy: -3.7868 eV/atom
ρ: 8.0 g/cm3
Crystal system: trigonal
E_form: -1.30 eV/f.u.
Polymorph energy (0 for the lowest one): 0.000 eV per atom

Cell and atoms, written as POSCAR:
```
Sm4MgTl2
1.0
2.688 1.552 8.555
-2.688 1.552 8.555
0.000 -3.104 8.555
Sm Mg Tl
4 1 2
direct
0.114 0.114 0.114
0.368 0.368 0.368
0.632 0.632 0.632
0.886 0.886 0.886
0.500 0.500 0.500
0.243 0.243 0.243
0.757 0.757 0.757
```